Compound: CuNi2Se
Source: the Alexandria database
Functional: PBE-GGA
Structure: optimized geometry

a = 3.2396 Å, b = 3.2396 Å, c = 4.9609 Å
α = 90.00°, β = 90.00°, γ = 90.00°
Atoms (fractional coordinates):
1 Cu 0.0000 0.0000 0.0000
2 Ni 0.0000 0.0000 0.4847
3 Ni 0.5000 0.5000 0.2096
4 Se 0.5000 0.5000 0.6862

## Properties
The space-group type is No. 99. The value obtained for the formation energy from raw total energies is 40 kJ/mol of formula units. The value obtained for the calculated total energy is -18.73 eV/cell.

---

Compound: Cu2NiSe4
Source: the Alexandria database
Functional: PBE-GGA
Structure: optimized geometry

a = 7.2580 Å, b = 7.2580 Å, c = 7.2580 Å
α = 121.02°, β = 120.01°, γ = 89.11°
Atoms (fractional coordinates):
1 Cu 0.0000 0.0000 0.5000
2 Cu 0.0000 0.5000 0.0000
3 Cu 0.3815 0.1315 0.2500
4 Cu 0.6185 0.8685 0.7500
5 Ni 0.0000 0.5000 0.5000
6 Ni 0.5000 0.5000 0.0000
7 Se 0.2179 0.7330 0.4850
8 Se 0.2452 0.2684 0.5232
9 Se 0.2452 0.7219 0.9768
10 Se 0.2520 0.2670 0.9850
11 Se 0.7480 0.7330 0.0150
12 Se 0.7548 0.2781 0.0232
13 Se 0.7548 0.7316 0.4768
14 Se 0.7821 0.2670 0.5150

## Properties
The space-group type is No. 74. The value obtained for the formation energy from raw total energies is -100 kJ/mol of formula units. The value obtained for the calculated total energy is -57.89 eV/cell.